Entry 1:
# Ac2Sn4BiAu3 | Alexandria via LeMat-Bulk | PBE | relaxed
# **Formation energy**: -460 meV/atom
data_Ac2Sn4BiAu3
_chemical_formula_sum 'Ac2 Sn4 Bi1 Au3'
_cell_length_a 4.805
_cell_length_b 4.805
_cell_length_c 12.096
_cell_angle_alpha 90.00
_cell_angle_beta 90.00
_cell_angle_gamma 90.00
_symmetry_space_group_name_H-M 'P -4 m 2'
_symmetry_Int_Tables_number 115
_symmetry_space_group_name_Hall 'P -4 -2'
loop_
_atom_site_label
_atom_site_type_symbol
_atom_site_fract_x
_atom_site_fract_y
_atom_site_fract_z
Ac1 Ac 0.000 0.500 0.234
Sn1 Sn 0.000 0.000 0.000
Sn2 Sn 0.000 0.500 0.652
Sn3 Sn 0.500 0.500 0.000
Bi1 Bi 0.000 0.000 0.500
Au1 Au 0.000 0.500 0.874
Au2 Au 0.500 0.500 0.500


Entry 2:
# TiCrSCl2 | Alexandria via LeMat-Bulk | PBE | relaxed
# **Formation energy from raw total energies**: -0.507 eV per atom
data_TiCrSCl2
_chemical_formula_sum 'Ti1 Cr1 S1 Cl2'
_cell_length_a 4.811
_cell_length_b 4.811
_cell_length_c 4.793
_cell_angle_alpha 90.00
_cell_angle_beta 90.00
_cell_angle_gamma 90.00
_symmetry_space_group_name_H-M 'P 4/m m m'
_symmetry_Int_Tables_number 123
_symmetry_space_group_name_Hall '-P 4 2'
loop_
_atom_site_label
_atom_site_type_symbol
_atom_site_fract_x
_atom_site_fract_y
_atom_site_fract_z
Ti1 Ti 0.000 0.000 0.000
Cr1 Cr 0.500 0.500 0.500
S1 S 0.000 0.000 0.500
Cl1 Cl 0.000 0.500 0.000


Entry 3:
# Rb4LaBi3O12 | Alexandria via LeMat-Bulk | PBE | relaxed
# **Formation energy from raw total energies**: -1.293 eV per atom
data_Rb4LaBi3O12
_chemical_formula_sum 'Rb8 La2 Bi6 O24'
_cell_length_a 8.822
_cell_length_b 8.822
_cell_length_c 8.822
_cell_angle_alpha 90.00
_cell_angle_beta 90.00
_cell_angle_gamma 90.00
_symmetry_space_group_name_H-M 'I m -3 m'
_symmetry_Int_Tables_number 229
_symmetry_space_group_name_Hall '-I 4 2 3'
loop_
_atom_site_label
_atom_site_type_symbol
_atom_site_fract_x
_atom_site_fract_y
_atom_site_fract_z
Rb1 Rb 0.250 0.250 0.250
La1 La 0.000 0.000 0.000
Bi1 Bi 0.000 0.000 0.500
O1 O 0.000 0.000 0.266
O2 O 0.000 0.250 0.500


Entry 4:
# FeTc4 | Alexandria via LeMat-Bulk | PBE | relaxed
# **Formation energy**: 84 meV/atom
data_FeTc4
_chemical_formula_sum 'Fe4 Tc16'
_cell_length_a 13.783
_cell_length_b 3.830
_cell_length_c 5.397
_cell_angle_alpha 90.00
_cell_angle_beta 101.57
_cell_angle_gamma 90.00
_symmetry_space_group_name_H-M 'C 1 2/m 1'
_symmetry_Int_Tables_number 12
_symmetry_space_group_name_Hall '-C 2y'
loop_
_atom_site_label
_atom_site_type_symbol
_atom_site_fract_x
_atom_site_fract_y
_atom_site_fract_z
Fe1 Fe 0.100 0.000 0.302
Tc1 Tc 0.000 0.500 0.000
Tc2 Tc 0.000 0.500 0.500
Tc3 Tc 0.097 0.000 0.801
Tc4 Tc 0.198 0.500 0.106
Tc5 Tc 0.200 0.500 0.597


Going through the records in order, we get total moment values of 0.00 1.19 0.10 0.27 μB per atom.